No. 1
Material: Be2Fe2Si
Method: DFT, PBE
State: optimized geometry

## Properties
D(E_F) = 0.84 states/eV per atom
total moment = 0.0 Bohr magnetons per cell
E_form (uncorrected) = -0.27 eV/atom
ΔE to the lowest computed polymorph = 0.000 eV/f.u.

a b c (Å): 5.758 5.758 2.749
angles (deg): 90.00 90.00 90.00
Atoms (fractional coordinates):
Be (0.122, 0.378, 0.000)
Be (0.378, 0.878, 0.000)
Be (0.622, 0.122, 0.000)
Be (0.878, 0.622, 0.000)
Fe (0.175, 0.675, 0.500)
Fe (0.325, 0.175, 0.500)
Fe (0.675, 0.825, 0.500)
Fe (0.825, 0.325, 0.500)
Si (0.000, 0.000, 0.000)
Si (0.500, 0.500, 0.000)

No. 2
Material: Be2FeSi
Method: DFT, PBE
State: optimized geometry

## Properties
D(E_F) = 0.41 states/eV per atom
total moment = 1.6 Bohr magnetons per cell
E_form (uncorrected) = 0.12 eV/atom

a b c (Å): 2.435 2.435 6.882
angles (deg): 90.00 90.00 90.00
Atoms (fractional coordinates):
Be (0.000, 0.000, 0.000)
Be (0.500, 0.500, 0.221)
Fe (0.000, 0.000, 0.460)
Si (0.500, 0.500, 0.725)

No. 3
Material: Be4Fe2Si
Method: DFT, PBE
State: optimized geometry

## Properties
D(E_F) = 0.61 states/eV per atom
total moment = 3.1 Bohr magnetons per cell
E_form (uncorrected) = -0.18 eV/atom

a b c (Å): 7.766 4.321 8.009
angles (deg): 71.02 31.74 77.24
Atoms (fractional coordinates):
Be (0.036, 0.231, 0.711)
Be (0.229, 0.539, 0.019)
Be (0.231, 0.036, 0.021)
Be (0.398, 0.602, 0.442)
Be (0.539, 0.229, 0.214)
Be (0.602, 0.398, 0.558)
Be (0.692, 0.808, 0.648)
Be (0.808, 0.692, 0.852)
Fe (0.242, 0.630, 0.274)
Fe (0.397, 0.976, 0.620)
Fe (0.630, 0.242, 0.853)
Fe (0.976, 0.397, 0.008)
Si (0.107, 0.107, 0.393)
Si (0.857, 0.857, 0.143)

No. 4
Material: Be2FeSi
Method: DFT, PBE
State: optimized geometry

## Properties
D(E_F) = 0.59 states/eV per atom
total moment = 0.1 Bohr magnetons per cell
E_form (uncorrected) = -0.15 eV/atom

a b c (Å): 2.610 3.669 4.053
angles (deg): 90.00 90.00 90.00
Atoms (fractional coordinates):
Be (0.000, 0.000, 0.000)
Be (0.500, 0.500, 0.113)
Fe (0.000, 0.500, 0.635)
Si (0.500, 0.000, 0.498)